No. 1
An optimized crystal structure of CsSr3Pd. Source: Alexandria via LeMat-Bulk, functional GGA-PBE.

Unit cell a=6.2724 b=6.2724 c=12.4268 alpha=90.00 beta=90.00 gamma=120.00
With the nearest neighbours (Å) after each atom.
Space group P6_3/mmc (No. 194)
Asymmetric unit:
Cs (0.3333, 0.6667, 0.2500) (multiplicity 2)  5 Sr 3.62-3.95
Sr (0.0000, 0.0000, 0.2500) (multiplicity 2)  2 Pd 3.11
Sr (0.3333, 0.6667, 0.5676) (multiplicity 4)  3 Pd 3.72, 1 Cs 3.95, 3 Sr 3.99
Pd (0.0000, 0.0000, 0.0000) (multiplicity 2)  2 Sr 3.11

Computed properties:
Uncorrected energy   -2.1912 eV per atom
Energy relative to the elements   27 meV per atom
Distance to the lowest polymorph of the same formula   1.34 eV per formula unit

=====

No. 2
An optimized crystal structure of CsKBaF2. Source: Alexandria via LeMat-Bulk, functional GGA-PBE.

Unit cell a=5.3312 b=5.3312 c=6.7014 alpha=90.00 beta=90.00 gamma=90.00
With the nearest neighbours (Å) after each atom.
Space group P4/mmm (No. 123)
Asymmetric unit:
Cs (0.0000, 0.0000, 0.0000) (multiplicity 1)  4 Ba 3.77
K (0.5000, 0.5000, 0.5000) (multiplicity 1)  4 F 2.67
Ba (0.5000, 0.5000, 0.0000) (multiplicity 1)  2 K 3.35
F (0.0000, 0.5000, 0.5000) (multiplicity 2)  2 K 2.67

Computed properties:
Uncorrected energy   -2.7435 eV per atom
Formation energy from raw total energies   -1.220 eV per atom

=====

No. 3
An optimized crystal structure of NaLi2Ru6O12. Source: Alexandria via LeMat-Bulk, functional GGA-PBE.

Unit cell a=9.5756 b=9.5756 c=2.7585 alpha=90.00 beta=90.00 gamma=120.00
With the nearest neighbours (Å) after each atom.
Space group P-3 (No. 147)
Asymmetric unit:
Na (0.0000, 0.0000, 0.0000) (multiplicity 1)  6 O 2.56, 2 Na 2.76
Li (0.3333, 0.6667, 0.2505) (multiplicity 2)  6 O 2.17
Ru (0.0160, 0.3579, 0.2502) (multiplicity 6)  6 O 2.01-2.08
O (0.1068, 0.8132, 0.2500) (multiplicity 6)  3 Ru 2.01
O (0.1327, 0.5438, 0.7502) (multiplicity 6)  3 Ru 2.06-2.08, 2 Li 2.17

Computed properties:
Uncorrected energy   -6.8361 eV per atom
Distance to the lowest polymorph of the same formula   0.48 eV per formula unit
Formation energy from raw total energies   -1.108 eV per atom

=====

No. 4
An optimized crystal structure of HfTi2CdH. Source: Alexandria via LeMat-Bulk, functional GGA-PBE.

Unit cell a=4.2344 b=4.2344 c=4.2969 alpha=90.00 beta=90.00 gamma=90.00
With the nearest neighbours (Å) after each atom.
Space group P4/mmm (No. 123)
Asymmetric unit:
Hf (0.0000, 0.0000, 0.0000) (multiplicity 1)  2 H 2.15
Ti (0.0000, 0.5000, 0.5000) (multiplicity 2)  2 H 2.12
Cd (0.5000, 0.5000, 0.0000) (multiplicity 1)  4 Hf 2.99, 8 Ti 3.02
H (0.0000, 0.0000, 0.5000) (multiplicity 1)  4 Ti 2.12, 2 Hf 2.15

Computed properties:
Uncorrected energy   -6.1452 eV per atom
Distance to the lowest polymorph of the same formula   0.00 eV per formula unit

=====

No. 5
An optimized crystal structure of Be2Hg. Source: Alexandria via LeMat-Bulk, functional GGA-PBE.

Unit cell a=7.9778 b=2.6711 c=8.2784 alpha=90.00 beta=92.92 gamma=90.00
With the nearest neighbours (Å) after each atom.
Space group C2/m (No. 12)
Asymmetric unit:
Be (0.0472, 0.0000, 0.3753) (multiplicity 4)  6 Be 2.22-2.32
Be (0.1649, 0.5000, 0.5683) (multiplicity 4)  7 Be 2.22-2.32
Hg (0.2081, 0.5000, 0.1608) (multiplicity 4)  4 Be 2.61-2.76, 2 Hg 2.67

Computed properties:
Uncorrected energy   -2.2321 eV per atom
Energy relative to the elements   353 meV per atom
Distance to the lowest polymorph of the same formula   0.27 eV per formula unit

=====

No. 6
An optimized crystal structure of LiMgTaPt. Source: Alexandria via LeMat-Bulk, functional GGA-PBE.

Unit cell a=6.3169 b=6.3169 c=6.3169 alpha=90.00 beta=90.00 gamma=90.00
With the nearest neighbours (Å) after each atom.
Space group F-43m (No. 216)
Asymmetric unit:
Li (0.0000, 0.0000, 0.0000) (multiplicity 4)  4 Ta 2.74, 4 Mg 2.74
Mg (0.2500, 0.2500, 0.7500) (multiplicity 4)  4 Li 2.74, 4 Pt 2.74
Ta (0.2500, 0.2500, 0.2500) (multiplicity 4)  4 Li 2.74, 4 Pt 2.74
Pt (0.0000, 0.0000, 0.5000) (multiplicity 4)  4 Ta 2.74, 4 Mg 2.74

Computed properties:
Uncorrected energy   -5.7556 eV per atom
Energy relative to the elements   -405 meV per atom

=====

No. 7
An optimized crystal structure of SrLaZr2Mo. Source: Alexandria via LeMat-Bulk, functional GGA-PBE.

Unit cell a=5.3211 b=5.3211 c=5.4580 alpha=90.00 beta=90.00 gamma=90.00
With the nearest neighbours (Å) after each atom.
Space group P4/mmm (No. 123)
Asymmetric unit:
Sr (0.0000, 0.0000, 0.0000) (multiplicity 1)  4 La 3.76, 8 Zr 3.81
La (0.5000, 0.5000, 0.0000) (multiplicity 1)  2 Mo 2.73
Zr (0.0000, 0.5000, 0.5000) (multiplicity 2)  2 Mo 2.66
Mo (0.5000, 0.5000, 0.5000) (multiplicity 1)  4 Zr 2.66, 2 La 2.73

Computed properties:
Uncorrected energy   -6.4287 eV per atom
Energy relative to the elements   479 meV per atom

=====

No. 8
An optimized crystal structure of Ac6Ag3Rh. Source: Alexandria via LeMat-Bulk, functional GGA-PBE.

Unit cell a=12.1738 b=4.1899 c=14.6516 alpha=90.00 beta=112.31 gamma=90.00
With the nearest neighbours (Å) after each atom.
Space group P2_1/m (No. 11)
Asymmetric unit:
Ac (0.0140, 0.2500, 0.3740) (multiplicity 2)  3 Ag 3.21-3.29
Ac (0.0820, 0.2500, 0.8899) (multiplicity 2)  4 Ag 3.33-3.72
Ac (0.2521, 0.7500, 0.3249) (multiplicity 2)  3 Ag 3.29-3.47, 2 Rh 3.32
Ac (0.3372, 0.7500, 0.7878) (multiplicity 2)  3 Ag 3.20-3.42, 1 Rh 3.25
Ac (0.3519, 0.7500, 0.1141) (multiplicity 2)  2 Rh 3.02, 2 Ag 3.28
Ac (0.4169, 0.2500, 0.5838) (multiplicity 2)  2 Rh 3.03, 2 Ag 3.32
Ag (0.1409, 0.2500, 0.1392) (multiplicity 2)  7 Ac 3.29-3.45, 1 Rh 3.35
Ag (0.1901, 0.7500, 0.5374) (multiplicity 2)  7 Ac 3.21-3.47
Ag (0.4101, 0.2500, 0.9664) (multiplicity 2)  2 Ag 2.92, 2 Ac 3.20
Rh (0.4330, 0.2500, 0.2743) (multiplicity 2)  7 Ac 3.02-3.32, 1 Ag 3.35

Computed properties:
Uncorrected energy   -4.2977 eV per atom
Energy relative to the elements   -242 meV per atom

=====

No. 9
An optimized crystal structure of AcSiIr. Source: Alexandria via LeMat-Bulk, functional GGA-PBE.

Unit cell a=6.3667 b=6.4623 c=7.8081 alpha=90.00 beta=119.19 gamma=90.00
With the nearest neighbours (Å) after each atom.
Space group P2_1/c (No. 14)
Asymmetric unit:
Ac (0.2004, 0.1402, 0.3927) (multiplicity 4)  4 Ir 3.09-3.33, 4 Si 3.32-3.46
Si (0.2866, 0.6386, 0.5745) (multiplicity 4)  3 Ir 2.36-2.44
Ir (0.3713, 0.5979, 0.3079) (multiplicity 4)  3 Si 2.36-2.44

Computed properties:
Uncorrected energy   -7.0211 eV per atom
Distance to the lowest polymorph of the same formula   0.19 eV per formula unit
Formation energy from raw total energies   -0.890 eV per atom

=====

No. 10
An optimized crystal structure of NbAl2O. Source: Alexandria via LeMat-Bulk, functional GGA-PBE.

Unit cell a=5.7690 b=5.7690 c=7.4681 alpha=90.00 beta=90.00 gamma=90.00
With the nearest neighbours (Å) after each atom.
Space group I-42d (No. 122)
Asymmetric unit:
Nb (0.0000, 0.0000, 0.0000) (multiplicity 4)  4 Al 2.74
Al (0.1292, 0.7500, 0.6250) (multiplicity 8)  2 O 1.87
O (0.0000, 0.0000, 0.5000) (multiplicity 4)  4 Al 1.87

Computed properties:
Uncorrected energy   -6.2868 eV per atom
Formation energy from raw total energies   -0.659 eV per atom

=====

No. 11
An optimized crystal structure of Tb4Mg. Source: Alexandria via LeMat-Bulk, functional GGA-PBE.

Unit cell a=3.5540 b=3.5540 c=42.0779 alpha=90.00 beta=90.00 gamma=120.00
With the nearest neighbours (Å) after each atom.
Space group R-3m (No. 166, hexagonal axes)
Asymmetric unit:
Tb (0.0000, 0.0000, 0.1032) (multiplicity 6)  3 Mg 3.37, 9 Tb 3.54-3.55
Tb (0.0000, 0.0000, 0.3680) (multiplicity 6)  12 Tb 3.54-3.56
Mg (0.0000, 0.0000, 0.5000) (multiplicity 3)  6 Tb 3.37, 6 Mg 3.55

Computed properties:
Uncorrected energy   -4.0030 eV per atom
Energy relative to the elements   20 meV per atom
Distance to the lowest polymorph of the same formula   0.20 eV per formula unit

=====

No. 12
An optimized crystal structure of TlBi4N2. Source: Alexandria via LeMat-Bulk, functional GGA-PBE.

Unit cell a=3.3729 b=3.4003 c=20.3516 alpha=90.00 beta=91.31 gamma=90.00
With the nearest neighbours (Å) after each atom.
Space group P2/m (No. 10)
Asymmetric unit:
Tl (0.0000, 0.0000, 0.0000) (multiplicity 1)  4 Tl 3.37-3.40, 8 Bi 3.73-3.74
Bi (0.4632, 0.0000, 0.7228) (multiplicity 2)  6 Bi 3.25-3.40
Bi (0.4827, 0.5000, 0.8590) (multiplicity 2)  6 Bi 3.25-3.40
N (0.0143, 0.5000, 0.5273) (multiplicity 2)  1 N 1.11

Computed properties:
Uncorrected energy   -4.8388 eV per atom
Formation energy from raw total energies   0.096 eV per atom

=====

No. 13
An optimized crystal structure of MnAl2Fe. Source: Alexandria via LeMat-Bulk, functional GGA-PBE.

Unit cell a=2.7195 b=4.2645 c=4.4579 alpha=90.00 beta=90.00 gamma=90.00
With the nearest neighbours (Å) after each atom.
Space group Pmm2 (No. 25)
Asymmetric unit:
Mn (0.0000, 0.0000, 0.0000) (multiplicity 1)  8 Al 2.57-2.65, 2 Fe 2.66, 2 Mn 2.72
Al (0.5000, 0.0000, 0.4900) (multiplicity 1)  4 Mn 2.57-2.65, 4 Fe 2.60, 4 Al 2.72
Al (0.5000, 0.5000, 0.8689) (multiplicity 1)  4 Fe 2.56-2.66, 4 Mn 2.60, 4 Al 2.72
Fe (0.0000, 0.5000, 0.3553) (multiplicity 1)  8 Al 2.56-2.66, 2 Mn 2.66, 2 Fe 2.72

Computed properties:
Uncorrected energy   -6.5198 eV per atom
Energy relative to the elements   -240 meV per atom

=====

No. 14
An optimized crystal structure of KGeAu2. Source: Alexandria via LeMat-Bulk, functional GGA-PBE.

Unit cell a=4.6368 b=4.6368 c=17.9578 alpha=90.00 beta=90.00 gamma=120.00
With the nearest neighbours (Å) after each atom.
Space group R-3m (No. 166, hexagonal axes)
Asymmetric unit:
K (0.0000, 0.0000, 0.0000) (multiplicity 3)  8 Au 3.46-3.68
Ge (0.0000, 0.0000, 0.5000) (multiplicity 3)  6 Au 2.72
Au (0.0000, 0.0000, 0.1927) (multiplicity 6)  3 Ge 2.72, 3 Au 2.84

Computed properties:
Uncorrected energy   -3.2530 eV per atom
Energy relative to the elements   -186 meV per atom

=====

No. 15
An optimized crystal structure of PrNd2Dy5. Source: Alexandria via LeMat-Bulk, functional GGA-PBE.

Unit cell a=16.4230 b=9.9924 c=6.5277 alpha=90.00 beta=97.78 gamma=90.00
With the nearest neighbours (Å) after each atom.
Space group C2/c (No. 15)
Asymmetric unit:
Pr (0.2500, 0.2500, 0.0000) (multiplicity 4)  2 Nd 3.04
Nd (0.0763, 0.2473, 0.1128) (multiplicity 8)  1 Pr 3.04, 2 Dy 3.19-3.37, 1 Nd 3.27
Dy (0.0000, 0.4423, 0.7500) (multiplicity 4)  4 Nd 3.19-3.51, 2 Dy 3.46
Dy (0.0988, 0.0876, 0.6427) (multiplicity 8)  3 Nd 3.37-3.52, 1 Pr 3.56, 5 Dy 3.67-3.72
Dy (0.1962, 0.4095, 0.5218) (multiplicity 8)  1 Nd 3.49, 2 Pr 3.51-3.52, 7 Dy 3.67-3.76

Computed properties:
Uncorrected energy   -4.4943 eV per atom
Energy relative to the elements   171 meV per atom
Distance to the lowest polymorph of the same formula   1.23 eV per formula unit